{
  "formula": "LiTbPm2",
  "functional": "PBE",
  "state": "relaxed",
  "ef_ev_per_fu": 0.3,
  "sg": "P4/mmm (123)",
  "polymorph_energy_mev_per_atom": 0,
  "vol_a3_per_cell": 121,
  "total_energy_ev_per_atom": -3.946,
  "cell": [[-3.189, 1.417, -1.049], [-0.210, -2.458, -2.682], [-4.387, -5.730, 5.595]],
  "species": ["Li", "Tb", "Pm", "Pm"],
  "fractional_positions": [[0.500, 0.500, 0.000], [0.500, 0.500, 0.500], [0.000, 0.000, 0.772], [0.000, 0.000, 0.228]]
}

{
  "formula": "Li12Tb5Pm3",
  "functional": "PBE",
  "state": "relaxed",
  "ef_ev_per_fu": 16.2,
  "sg": "Ia-3d (230)",
  "vol_a3_per_cell": 2459,
  "total_energy_ev_per_atom": -2.209,
  "cell": [[-13.341, -2.620, 5.664], [10.256, -6.343, 8.456], [2.353, 14.530, -0.505]],
  "species": ["Pm", "Pm", "Pm", "Pm", "Pm", "Pm", "Pm", "Pm", "Pm", "Pm", "Pm", "Pm", "Tb", "Tb", "Tb", "Tb", "Tb", "Tb", "Tb", "Tb", "Tb", "Tb", "Tb", "Tb", "Tb", "Tb", "Tb", "Tb", "Tb", "Tb", "Tb", "Tb", "Li", "Li", "Li", "Li", "Li", "Li", "Li", "Li", "Li", "Li", "Li", "Li", "Li", "Li", "Li", "Li", "Li", "Li", "Li", "Li", "Li", "Li", "Li", "Li", "Li", "Li", "Li", "Li", "Li", "Li", "Li", "Li", "Li", "Li", "Li", "Li", "Li", "Li", "Li", "Li", "Li", "Li", "Li", "Li", "Li", "Li", "Li", "Li"],
  "fractional_positions": [[0.750, 0.375, 0.125], [0.875, 0.750, 0.125], [0.375, 0.750, 0.625], [0.250, 0.125, 0.375], [0.875, 0.125, 0.250], [0.375, 0.625, 0.250], [0.625, 0.375, 0.750], [0.125, 0.875, 0.750], [0.750, 0.875, 0.625], [0.625, 0.250, 0.375], [0.125, 0.250, 0.875], [0.250, 0.625, 0.875], [0.125, 0.375, 0.250], [0.000, 0.500, 0.000], [0.000, 0.000, 0.000], [0.375, 0.250, 0.125], [0.500, 0.000, 0.500], [0.500, 0.500, 0.000], [0.125, 0.750, 0.375], [0.750, 0.125, 0.875], [0.750, 0.625, 0.375], [0.375, 0.125, 0.750], [0.625, 0.875, 0.250], [0.500, 0.500, 0.500], [0.500, 0.000, 0.000], [0.000, 0.000, 0.500], [0.250, 0.375, 0.625], [0.250, 0.875, 0.125], [0.000, 0.500, 0.500], [0.875, 0.250, 0.625], [0.625, 0.750, 0.875], [0.875, 0.625, 0.750], [0.734, 0.151, 0.084], [0.350, 0.584, 0.433], [0.916, 0.349, 0.266], [0.584, 0.234, 0.151], [0.583, 0.734, 0.650], [0.916, 0.567, 0.150], [0.350, 0.766, 0.417], [0.067, 0.917, 0.151], [0.567, 0.916, 0.650], [0.734, 0.583, 0.150], [0.766, 0.416, 0.349], [0.850, 0.933, 0.084], [0.151, 0.734, 0.584], [0.349, 0.433, 0.083], [0.083, 0.933, 0.349], [0.417, 0.151, 0.567], [0.083, 0.150, 0.234], [0.416, 0.650, 0.067], [0.850, 0.917, 0.266], [0.151, 0.417, 0.067], [0.349, 0.916, 0.766], [0.567, 0.651, 0.417], [0.933, 0.850, 0.584], [0.766, 0.350, 0.917], [0.433, 0.349, 0.583], [0.067, 0.150, 0.416], [0.234, 0.650, 0.083], [0.150, 0.083, 0.734], [0.651, 0.084, 0.234], [0.849, 0.583, 0.933], [0.584, 0.350, 0.933], [0.583, 0.849, 0.433], [0.917, 0.850, 0.766], [0.917, 0.067, 0.651], [0.849, 0.266, 0.416], [0.150, 0.067, 0.916], [0.651, 0.567, 0.917], [0.433, 0.084, 0.350], [0.266, 0.417, 0.850], [0.234, 0.584, 0.651], [0.933, 0.083, 0.849], [0.650, 0.234, 0.583], [0.416, 0.766, 0.849], [0.084, 0.433, 0.850], [0.417, 0.266, 0.350], [0.084, 0.651, 0.734], [0.650, 0.416, 0.567], [0.266, 0.849, 0.916]]
}

{
  "formula": "Li3Tb2PmTe6",
  "functional": "PBE",
  "state": "relaxed",
  "sg": "C2/m (12)",
  "vol_a3_per_cell": 353,
  "total_energy_ev_per_atom": -4.514,
  "cell": [[7.594, -0.001, 0.001], [-3.796, 6.577, 0.001], [-1.266, -2.192, 7.071]],
  "species": ["Li", "Li", "Li", "Tb", "Tb", "Pm", "Te", "Te", "Te", "Te", "Te", "Te"],
  "fractional_positions": [[0.166, 0.834, 0.500], [0.834, 0.166, 0.500], [0.500, 0.500, 0.500], [0.333, 0.667, 0.000], [0.667, 0.333, 0.000], [0.000, 0.000, 0.000], [0.914, 0.576, 0.743], [0.748, 0.748, 0.258], [0.086, 0.424, 0.257], [0.576, 0.914, 0.743], [0.252, 0.252, 0.742], [0.424, 0.086, 0.257]]
}

{
  "formula": "Li3TbPm2Te6",
  "functional": "PBE",
  "state": "relaxed",
  "sg": "C2/m (12)",
  "vol_a3_per_cell": 358,
  "total_energy_ev_per_atom": -4.525,
  "cell": [[7.638, -0.001, 0.000], [-3.818, 6.615, 0.000], [-1.275, -2.207, 7.079]],
  "species": ["Li", "Li", "Li", "Tb", "Pm", "Pm", "Te", "Te", "Te", "Te", "Te", "Te"],
  "fractional_positions": [[0.168, 0.832, 0.500], [0.832, 0.168, 0.500], [0.500, 0.500, 0.500], [0.000, 0.000, 0.000], [0.333, 0.667, 0.000], [0.667, 0.333, 0.000], [0.914, 0.585, 0.741], [0.758, 0.758, 0.259], [0.086, 0.415, 0.259], [0.585, 0.914, 0.741], [0.242, 0.242, 0.741], [0.415, 0.086, 0.259]]
}

{
  "formula": "LiTb2Pm3Te6",
  "functional": "PBE",
  "state": "relaxed",
  "sg": "C2/m (12)",
  "vol_a3_per_cell": 362,
  "total_energy_ev_per_atom": -5.053,
  "cell": [[4.400, 0.000, 0.000], [0.000, 8.810, 0.297], [-2.200, -2.557, 9.259]],
  "species": ["Li", "Tb", "Tb", "Pm", "Pm", "Pm", "Te", "Te", "Te", "Te", "Te", "Te"],
  "fractional_positions": [[0.500, 0.000, 0.000], [0.833, 0.663, 0.666], [0.167, 0.337, 0.334], [0.500, 0.500, 0.000], [0.832, 0.169, 0.664], [0.168, 0.831, 0.336], [0.339, 0.915, 0.679], [0.668, 0.580, 0.335], [0.661, 0.085, 0.321], [0.002, 0.237, 0.003], [0.998, 0.763, 0.997], [0.332, 0.420, 0.665]]
}

{
  "formula": "LiTbPm2Te4",
  "functional": "PBE",
  "state": "relaxed",
  "sg": "P2/m (10)",
  "vol_a3_per_cell": 241,
  "total_energy_ev_per_atom": -4.935,
  "cell": [[-2.370, 1.647, -3.299], [-4.577, -6.079, 0.254], [-2.735, 5.403, 4.661]],
  "species": ["Li", "Tb", "Pm", "Pm", "Te", "Te", "Te", "Te"],
  "fractional_positions": [[0.000, 0.000, 0.000], [0.500, 0.500, 0.000], [0.500, 0.000, 0.500], [0.000, 0.500, 0.500], [0.500, 0.240, 0.235], [0.500, 0.760, 0.765], [0.000, 0.247, 0.762], [0.000, 0.753, 0.238]]
}

{
  "formula": "LiTb2PmTe4",
  "functional": "PBE",
  "state": "relaxed",
  "sg": "P2/m (10)",
  "vol_a3_per_cell": 238,
  "total_energy_ev_per_atom": -4.902,
  "cell": [[4.359, 0.000, 0.000], [0.000, 7.608, 0.152], [0.000, -2.639, 7.128]],
  "species": ["Li", "Tb", "Tb", "Pm", "Te", "Te", "Te", "Te"],
  "fractional_positions": [[0.500, 0.500, 0.000], [0.500, 0.000, 0.500], [0.000, 0.500, 0.500], [0.000, 0.000, 0.000], [0.500, 0.259, 0.250], [0.500, 0.741, 0.750], [0.000, 0.259, 0.754], [0.000, 0.741, 0.246]]
}

{
  "formula": "Li2TbPm3Te6",
  "functional": "PBE",
  "state": "relaxed",
  "sg": "C2/m (12)",
  "vol_a3_per_cell": 361,
  "total_energy_ev_per_atom": -4.805,
  "cell": [[4.395, 0.000, 0.000], [0.000, 8.809, 0.311], [-2.197, -2.535, 9.240]],
  "species": ["Li", "Li", "Tb", "Pm", "Pm", "Pm", "Te", "Te", "Te", "Te", "Te", "Te"],
  "fractional_positions": [[0.824, 0.646, 0.649], [0.176, 0.354, 0.351], [0.500, 0.000, 0.000], [0.500, 0.500, 0.000], [0.834, 0.165, 0.669], [0.166, 0.835, 0.331], [0.335, 0.903, 0.670], [0.669, 0.579, 0.337], [0.665, 0.097, 0.330], [0.006, 0.248, 0.012], [0.994, 0.752, 0.988], [0.331, 0.421, 0.663]]
}

{
  "formula": "LiTbPm2Te5",
  "functional": "PBE",
  "state": "relaxed",
  "sg": "Cmc2_1 (36)",
  "vol_a3_per_cell": 544,
  "total_energy_ev_per_atom": -4.837,
  "cell": [[-1.077, 0.712, 4.200], [-2.776, -9.080, -1.472], [11.945, -4.265, 3.787]],
  "species": ["Li", "Li", "Tb", "Tb", "Pm", "Pm", "Pm", "Pm", "Te", "Te", "Te", "Te", "Te", "Te", "Te", "Te", "Te", "Te"],
  "fractional_positions": [[0.557, 0.114, 0.964], [0.443, 0.886, 0.464], [0.802, 0.604, 0.508], [0.198, 0.396, 0.008], [0.874, 0.747, 0.801], [0.106, 0.212, 0.685], [0.126, 0.253, 0.301], [0.894, 0.788, 0.185], [0.363, 0.725, 0.998], [0.688, 0.376, 0.844], [0.498, 0.996, 0.782], [0.283, 0.566, 0.669], [0.953, 0.906, 0.573], [0.637, 0.275, 0.498], [0.312, 0.624, 0.344], [0.502, 0.004, 0.282], [0.717, 0.434, 0.169], [0.047, 0.094, 0.073]]
}

{
  "formula": "Li2TbPmTl4",
  "functional": "PBE",
  "state": "relaxed",
  "ef_ev_per_fu": -2.6,
  "sg": "R-3m (166)",
  "vol_a3_per_cell": 202,
  "total_energy_ev_per_atom": -3.164,
  "cell": [[5.234, 0.000, 0.000], [2.617, 4.533, 0.000], [2.617, 1.511, 8.521]],
  "species": ["Li", "Li", "Tb", "Pm", "Tl", "Tl", "Tl", "Tl"],
  "fractional_positions": [[0.750, 0.750, 0.749], [0.250, 0.250, 0.251], [0.500, 0.500, 0.500], [0.000, 0.000, 0.000], [0.376, 0.376, 0.872], [0.874, 0.874, 0.379], [0.126, 0.126, 0.621], [0.624, 0.624, 0.128]]
}

{
  "formula": "LiTbPmTl",
  "functional": "PBE",
  "state": "relaxed",
  "ef_ev_per_fu": -0.8,
  "sg": "F-43m (216)",
  "vol_a3_per_cell": 109,
  "total_energy_ev_per_atom": -3.614,
  "cell": [[5.365, 0.000, 0.000], [2.682, 4.646, 0.000], [2.682, 1.549, 4.380]],
  "species": ["Tl", "Li", "Tb", "Pm"],
  "fractional_positions": [[0.500, 0.500, 0.500], [0.000, 0.000, 0.000], [0.250, 0.250, 0.250], [0.750, 0.750, 0.750]]
}

{
  "formula": "LiTbPmY",
  "functional": "PBE",
  "state": "relaxed",
  "ef_ev_per_fu": 0.8,
  "sg": "F-43m (216)",
  "vol_a3_per_cell": 121,
  "total_energy_ev_per_atom": -4.238,
  "cell": [[5.548, 0.000, 0.000], [2.774, 4.804, 0.000], [2.774, 1.601, 4.530]],
  "species": ["Y", "Li", "Tb", "Pm"],
  "fractional_positions": [[0.000, 0.000, 0.000], [0.750, 0.750, 0.750], [0.500, 0.500, 0.500], [0.250, 0.250, 0.250]]
}